(1)
Ho4Te2AuS | GGA-PBE | optimized geometry

The structure in POSCAR format:
```
Ho4Te2AuS
1.0
4.073 0.000 0.000
0.000 7.357 0.198
0.000 -2.502 6.952
Ho Te Au S
4 2 1 1
direct
0.500 0.232 0.216
0.500 0.768 0.784
0.000 0.259 0.779
0.000 0.741 0.221
0.500 0.000 0.500
0.000 0.500 0.500
0.500 0.500 0.000
0.000 0.000 0.000
```

Energy relative to the elements, uncorrected ... -10.63 eV/f.u.
ρ ... 9.03 g cm⁻³

---

(2)
HoTlAuS2 | GGA-PBE | optimized geometry

The structure in POSCAR format:
```
HoTlAuS2
1.0
5.514 0.000 0.000
0.000 6.845 0.081
0.000 -1.991 7.117
Ho Tl Au S
2 2 2 4
direct
0.501 0.000 0.250
0.499 0.000 0.750
0.191 0.500 0.750
0.809 0.500 0.250
0.000 0.000 0.000
0.000 0.000 0.500
0.680 0.752 0.940
0.680 0.248 0.560
0.320 0.752 0.440
0.320 0.248 0.060
```

Energy relative to the elements, uncorrected ... -4.33 eV/f.u.
ρ ... 7.77 g cm⁻³

---

(3)
Ho6Sb2Au | GGA-PBE | optimized geometry

The structure in POSCAR format:
```
Ho6Sb2Au
1.0
4.090 0.000 0.000
0.000 8.341 0.000
0.000 -4.170 7.223
Ho Sb Au
6 2 1
direct
0.500 0.598 0.000
0.500 0.402 0.402
0.500 0.000 0.598
0.000 0.253 0.000
0.000 0.747 0.747
0.000 0.000 0.253
0.000 0.333 0.667
0.000 0.667 0.333
0.500 0.000 0.000
```

Energy relative to the elements, uncorrected ... -6.41 eV/f.u.
ρ ... 9.64 g cm⁻³